Ga3AsO, optimized geometry, DFT PBE; relative energy among the computed polymorphs = 0.7798 eV per atom; uncorrected formation energy = 0.627 eV/atom; magnetic moment = 0.0 μB/cell; crystal system = cubic
1.0
-4.634 0.803 -1.782
0.976 -3.023 -3.899
-1.694 -3.938 2.629
Ga O As
3 1 1
Direct
0.500 0.000 0.000
0.000 0.000 0.500
0.000 0.500 0.000
0.500 0.500 0.500
0.000 0.000 0.000

GaAsP2O, optimized geometry, DFT PBE; relative energy among the computed polymorphs = 0.0106 eV per atom; uncorrected formation energy = 0.348 eV/atom; magnetic moment = 0.0 μB/cell; crystal system = tetragonal
1.0
4.837 0.000 0.000
0.000 4.837 0.000
0.000 0.000 3.625
O As P Ga
1 1 2 1
Direct
0.000 0.000 0.500
0.500 0.500 0.500
0.500 0.000 0.000
0.000 0.500 0.000
0.000 0.000 0.000

GaAsP2O, optimized geometry, DFT PBE; relative energy among the computed polymorphs = 0.0000 eV per atom; uncorrected formation energy = 0.337 eV/atom; magnetic moment = 0.0 μB/cell; crystal system = tetragonal
1.0
-2.302 4.255 0.183
-1.740 -1.129 4.374
2.944 1.525 1.564
As Ga P O
1 1 2 1
Direct
0.000 0.000 0.000
0.500 0.500 0.500
0.000 0.500 0.000
0.500 0.000 0.000
0.000 0.000 0.500

GaAs2PbO8, optimized geometry, DFT PBE; uncorrected formation energy = -1.166 eV/atom; magnetic moment = 1.1 μB/cell; crystal system = trigonal
1.0
4.989 0.000 0.000
2.494 4.321 0.000
2.494 1.440 7.338
O As Ga Pb
8 2 1 1
Direct
0.952 0.621 0.161
0.266 0.952 0.161
0.621 0.266 0.161
0.182 0.182 0.455
0.048 0.379 0.839
0.734 0.048 0.839
0.818 0.818 0.545
0.379 0.734 0.839
0.260 0.260 0.219
0.740 0.740 0.781
0.000 0.000 0.000
0.500 0.500 0.500

| no. | energy (eV per cell) |
| --- | --- |
| 1 | -15.6 |
| 2 | -21.7 |
| 3 | -21.8 |
| 4 | -69.7 |